[1]
The following is a DFT calculation (GGA-PBE) of Sr4PdPt3 after structural relaxation.

Lattice parameters (Å, degrees): 4.2760 4.5308 11.1837 90.00 90.00 90.00
Last column: nearest neighbours and their distance in Å.
Sites, in units of the cell vectors:
Pt1 0.0000 0.0000 0.4285  2 Pt 2.78
Pt2 0.5000 0.0000 0.9287  2 Pd 2.76
Sr1 0.5000 0.0000 0.6410  7 Pt 3.20-3.22
Pt3 0.0000 0.5000 0.5719  2 Pt 2.78
Sr2 0.0000 0.0000 0.1409  3 Pt 3.19-3.22, 4 Pd 3.21
Sr3 0.5000 0.5000 0.3625  6 Pt 3.17-3.20, 1 Pd 3.27
Sr4 0.0000 0.5000 0.8563  5 Pt 3.18-3.22, 2 Pd 3.21
Pd1 0.5000 0.5000 0.0702  2 Pt 2.76

## Properties
Energy relative to the elements ... -0.76 eV/atom
SG ... No. 25
Crystal system ... orthorhombic
Electronic total energy ... -36.1 eV per cell

=====

[2]
The following is a DFT calculation (GGA-PBE) of SrPd2Pt after structural relaxation.

Lattice parameters (Å, degrees): 4.7740 4.7740 4.7740 60.00 60.00 60.00
Last column: nearest neighbours and their distance in Å.
Sites, in units of the cell vectors:
Pd1 0.7500 0.7500 0.7500  4 Pt 2.92, 4 Sr 2.92
Pd2 0.2500 0.2500 0.2500  4 Pt 2.92, 4 Sr 2.92
Sr1 0.0000 0.0000 0.0000  8 Pd 2.92
Pt1 0.5000 0.5000 0.5000  8 Pd 2.92

## Properties
Energy relative to the elements ... -0.29 eV/atom
SG ... No. 225
Energy above the lowest structure with this stoichiometry ... 262 meV/atom
Crystal system ... cubic
Electronic total energy ... -19.3 eV per cell

=====

[3]
The following is a DFT calculation (GGA-PBE) of SrPd2Pt3 after structural relaxation.

Lattice parameters (Å, degrees): 5.2868 6.8576 6.8576 96.02 90.00 90.00
Last column: nearest neighbours and their distance in Å.
Sites, in units of the cell vectors:
Pd1 0.5000 0.2349 0.7651  2 Pd 2.64, 6 Pt 2.68-2.78
Pt1 0.7500 0.0408 0.4656  4 Pd 2.68, 3 Pt 2.75-2.85, 1 Sr 2.97
Pt2 0.2500 0.5344 0.9592  4 Pd 2.68, 3 Pt 2.75-2.85, 1 Sr 2.97
Pd2 0.0000 0.2349 0.7651  2 Pd 2.64, 6 Pt 2.68-2.78
Pd3 0.5000 0.7651 0.2349  2 Pd 2.64, 6 Pt 2.68-2.78
Pt3 0.7500 0.4656 0.0408  4 Pd 2.68, 3 Pt 2.75-2.85, 1 Sr 2.97
Pt4 0.2500 0.9592 0.5344  4 Pd 2.68, 3 Pt 2.75-2.85, 1 Sr 2.97
Pt5 0.2500 0.9486 0.9486  4 Pd 2.78, 4 Pt 2.81-2.85
Pd4 0.0000 0.7651 0.2349  2 Pd 2.64, 6 Pt 2.68-2.78
Sr1 0.2500 0.2991 0.2991  3 Pt 2.97-3.22
Pt6 0.7500 0.0514 0.0514  4 Pd 2.78, 4 Pt 2.81-2.85
Sr2 0.7500 0.7009 0.7009  3 Pt 2.97-3.22

## Properties
Energy relative to the elements ... -0.29 eV/atom
SG ... No. 63
Crystal system ... orthorhombic
Electronic total energy ... -63.8 eV per cell

=====

[4]
The following is a DFT calculation (GGA-PBE) of Sr2PdPt after structural relaxation.

Lattice parameters (Å, degrees): 6.8666 6.8666 8.2981 65.56 65.56 90.00
Last column: nearest neighbours and their distance in Å.
Sites, in units of the cell vectors:
Pt1 0.7500 0.2500 0.5000  4 Sr 2.93
Sr1 0.3750 0.3696 0.7500  2 Pt 2.93, 2 Pd 2.98
Pd1 0.5000 0.5000 0.0000  4 Sr 2.98
Sr2 0.8750 0.8804 0.7500  2 Pt 2.93, 2 Pd 2.98
Sr3 0.6304 0.1250 0.2500  2 Pt 2.93, 2 Pd 2.98
Sr4 0.1196 0.6250 0.2500  2 Pt 2.93, 2 Pd 2.98
Pd2 0.2500 0.7500 0.5000  4 Sr 2.98
Pt2 0.0000 0.0000 0.0000  4 Sr 2.93

## Properties
Energy relative to the elements ... -0.17 eV/atom
SG ... No. 122
Crystal system ... tetragonal
Electronic total energy ... -30.6 eV per cell

=====

[5]
The following is a DFT calculation (GGA-PBE) of Sr2PdPt after structural relaxation.

Lattice parameters (Å, degrees): 3.7207 5.2322 5.2322 90.00 90.00 90.00
Last column: nearest neighbours and their distance in Å.
Sites, in units of the cell vectors:
Sr1 0.0000 0.0000 0.5000  4 Pt 3.21, 4 Pd 3.21
Sr2 0.0000 0.5000 0.0000  4 Pt 3.21, 4 Pd 3.21
Pt1 0.5000 0.0000 0.0000  8 Sr 3.21
Pd1 0.5000 0.5000 0.5000  8 Sr 3.21

## Properties
Energy relative to the elements ... -0.65 eV/atom
SG ... No. 123
Crystal system ... tetragonal
Electronic total energy ... -17.2 eV per cell

=====

[6]
The following is a DFT calculation (GGA-PBE) of Sr6PdPt2 after structural relaxation.

Lattice parameters (Å, degrees): 7.1350 7.4623 7.4623 120.00 90.00 90.00
Last column: nearest neighbours and their distance in Å.
Sites, in units of the cell vectors:
Sr1 0.2583 0.6651 0.0000  2 Pt 3.02, 1 Pd 3.11
Sr2 0.2583 0.3349 0.3349  2 Pt 3.02, 1 Pd 3.11
Sr3 0.2583 0.0000 0.6651  2 Pt 3.02, 1 Pd 3.11
Pd1 0.0000 0.0000 0.0000  6 Sr 3.11
Sr4 0.7417 0.3349 0.0000  2 Pt 3.02, 1 Pd 3.11
Pt1 0.5000 0.3333 0.6667  6 Sr 3.02
Sr5 0.7417 0.6651 0.6651  2 Pt 3.02, 1 Pd 3.11
Sr6 0.7417 0.0000 0.3349  2 Pt 3.02, 1 Pd 3.11
Pt2 0.5000 0.6667 0.3333  6 Sr 3.02

## Properties
Energy relative to the elements ... -0.58 eV/atom
SG ... No. 162
Crystal system ... trigonal
Electronic total energy ... -32.6 eV per cell

=====

[7]
The following is a DFT calculation (GGA-PBE) of Sr4PdPt after structural relaxation.

Lattice parameters (Å, degrees): 7.4523 7.4523 9.1282 114.14 114.14 90.03
Last column: nearest neighbours and their distance in Å.
Sites, in units of the cell vectors:
Pt1 0.1250 0.8750 0.7501  8 Sr 3.21-3.22
Sr1 0.9998 0.2469 0.9998  2 Pt 3.21, 2 Pd 3.24
Pd1 0.3750 0.6250 0.2500  8 Sr 3.24
Sr2 0.7532 0.5006 0.5001  2 Pt 3.21-3.22, 2 Pd 3.24
Pt2 0.8750 0.1250 0.2499  8 Sr 3.21-3.22
Sr3 0.2468 0.4994 0.4999  2 Pt 3.21-3.22, 2 Pd 3.24
Pd2 0.6250 0.3750 0.7500  8 Sr 3.24
Sr4 0.2470 0.9995 0.5001  2 Pt 3.21-3.22, 2 Pd 3.24
Sr5 0.4998 0.2470 0.0002  2 Pt 3.21, 2 Pd 3.24
Sr6 0.5002 0.7530 0.9998  2 Pt 3.21, 2 Pd 3.24
Sr7 0.0002 0.7531 0.0002  2 Pt 3.21, 2 Pd 3.24
Sr8 0.7530 0.0005 0.4999  2 Pt 3.21-3.22, 2 Pd 3.24

## Properties
Energy relative to the elements ... -0.55 eV/atom
SG ... No. 15
Crystal system ... monoclinic
Electronic total energy ... -42.6 eV per cell

=====

[8]
The following is a DFT calculation (GGA-PBE) of SrPdPt after structural relaxation.

Lattice parameters (Å, degrees): 5.5477 5.5895 5.5895 60.24 60.25 60.25
Last column: nearest neighbours and their distance in Å.
Sites, in units of the cell vectors:
Pt1 0.5000 0.0000 0.0000  2 Pt 2.77, 4 Pd 2.79
Pd1 0.5000 0.0000 0.5000  4 Pt 2.79, 2 Pd 2.80
Pd2 0.5000 0.5000 0.0000  4 Pt 2.79, 2 Pd 2.80
Sr1 0.1230 0.6270 0.6270  6 Pd 3.26-3.30, 6 Pt 3.26-3.29, 4 Sr 3.42-3.43
Sr2 0.8770 0.3730 0.3730  6 Pd 3.26-3.30, 6 Pt 3.26-3.29, 4 Sr 3.42-3.43
Pt2 0.0000 0.0000 0.0000  2 Pt 2.77, 4 Pd 2.79

## Properties
Energy relative to the elements ... -0.76 eV/atom
SG ... No. 74
Energy above the lowest structure with this stoichiometry ... 0 meV/atom
Crystal system ... orthorhombic
Electronic total energy ... -30.4 eV per cell

=====

[9]
The following is a DFT calculation (GGA-PBE) of Sr2PdPt after structural relaxation.

Lattice parameters (Å, degrees): 4.1243 4.1243 9.5299 77.50 77.50 60.00
Last column: nearest neighbours and their distance in Å.
Sites, in units of the cell vectors:
Sr1 0.8985 0.8985 0.3044  1 Pd 2.81, 3 Pt 2.99
Pt1 0.5000 0.5000 0.5000  6 Sr 2.99
Pd1 0.0000 0.0000 0.0000  2 Sr 2.81
Sr2 0.1015 0.1015 0.6956  1 Pd 2.81, 3 Pt 2.99

## Properties
Energy relative to the elements ... -0.14 eV/atom
SG ... No. 166
Crystal system ... trigonal
Electronic total energy ... -15.2 eV per cell

=====

[10]
The following is a DFT calculation (GGA-PBE) of Sr2Pd2Pt after structural relaxation.

Lattice parameters (Å, degrees): 7.2777 7.2777 4.4265 90.00 90.00 90.00
Last column: nearest neighbours and their distance in Å.
Sites, in units of the cell vectors:
Pt1 0.5000 0.5000 0.0000  4 Pd 2.84
Sr1 0.1792 0.6792 0.5000  6 Pd 2.94-3.19
Pt2 0.0000 0.0000 0.0000  4 Pd 2.84
Pd1 0.1328 0.3672 0.0000  1 Pd 2.73, 2 Pt 2.84, 2 Sr 2.94
Pd2 0.3672 0.8672 0.0000  1 Pd 2.73, 2 Pt 2.84, 2 Sr 2.94
Sr2 0.3208 0.1792 0.5000  6 Pd 2.94-3.19
Sr3 0.6792 0.8208 0.5000  6 Pd 2.94-3.19
Pd3 0.8672 0.6328 0.0000  1 Pd 2.73, 2 Pt 2.84, 2 Sr 2.94
Pd4 0.6328 0.1328 0.0000  1 Pd 2.73, 2 Pt 2.84, 2 Sr 2.94
Sr4 0.8208 0.3208 0.5000  6 Pd 2.94-3.19

## Properties
Energy relative to the elements ... -0.58 eV/atom
SG ... No. 127
Energy above the lowest structure with this stoichiometry ... 104 meV/atom
Crystal system ... tetragonal
Electronic total energy ... -45.4 eV per cell

=====

[11]
The following is a DFT calculation (GGA-PBE) of SrPdPt3 after structural relaxation.

Lattice parameters (Å, degrees): 4.9382 4.9382 4.9382 90.00 90.00 90.00
Last column: nearest neighbours and their distance in Å.
Sites, in units of the cell vectors:
Pd1 0.0000 0.0000 0.0000  6 Pt 2.47
Pt1 0.0000 0.0000 0.5000  2 Pd 2.47
Pt2 0.0000 0.5000 0.0000  2 Pd 2.47
Sr1 0.5000 0.5000 0.5000  12 Pt 3.49
Pt3 0.5000 0.0000 0.0000  2 Pd 2.47

## Properties
Energy relative to the elements ... 0.34 eV/atom
SG ... No. 221
Energy above the lowest structure with this stoichiometry ... 0 meV/atom
Crystal system ... cubic
Electronic total energy ... -23.3 eV per cell

=====

[12]
The following is a DFT calculation (GGA-PBE) of Sr3Pd8Pt after structural relaxation.

Lattice parameters (Å, degrees): 5.5233 5.5233 9.5129 73.12 73.12 60.00
Last column: nearest neighbours and their distance in Å.
Sites, in units of the cell vectors:
Pd1 0.8099 0.8099 0.5702  6 Pd 2.70-2.74
Sr1 0.0113 0.0113 0.9660  9 Pd 3.08-3.31, 1 Pt 3.39
Sr2 0.6228 0.6228 0.1316  12 Pd 3.24-3.27, 4 Sr 3.50-3.52
Pd2 0.0626 0.5619 0.8136  6 Pd 2.70-2.77
Pd3 0.5593 0.0595 0.3216  6 Pd 2.74-2.78, 1 Pt 2.87
Pt1 0.1373 0.1373 0.5881  6 Pd 2.87-3.19
Pd4 0.5619 0.0626 0.8136  6 Pd 2.70-2.77
Sr3 0.4928 0.4928 0.5216  12 Pd 3.06-3.29, 3 Pt 3.24
Pd5 0.5619 0.5619 0.8136  6 Pd 2.70-2.77
Pd6 0.3110 0.3110 0.0669  6 Pd 2.77-2.78
Pd7 0.0595 0.5593 0.3216  6 Pd 2.74-2.78, 1 Pt 2.87
Pd8 0.0595 0.0595 0.3216  6 Pd 2.74-2.78, 1 Pt 2.87

## Properties
Energy relative to the elements ... -0.44 eV/atom
SG ... No. 160
Crystal system ... trigonal
Electronic total energy ... -57.9 eV per cell